Mg2AgTe (SCAN, PBEsol geometry); DOS at the Fermi energy = 1.41 states/eV/f.u.; size of the total moment = 0.00 μB per atom; total energy = -19.852 eV/atom; formation energy from raw total energies = -210 meV/atom
1.0
-2.469 -2.871 0.354
3.282 -2.542 2.281
-1.493 1.796 4.150
Ag Mg Te
1 2 1
Cartesian
-1.981 -0.538 2.252
0.000 0.000 0.000
0.894 -0.373 3.215
0.406 -2.706 1.317